Arrangement w

First-principles (PBE) data for a relaxed BiAsSe2 crystal, as listed in Alexandria via LeMat-Bulk.

Unit cell a=9.2681 b=9.2681 c=9.2681 alpha=23.39 beta=23.39 gamma=23.39
Last column: nearest neighbours and their distance in Å.
Fractional positions:
Bi1 0.0000 0.0000 0.0000  2 Se 2.91
As1 0.5000 0.5000 0.5000  6 Se 2.69
Se1 0.1078 0.1078 0.1078  3 As 2.69, 1 Bi 2.91
Se2 0.8922 0.8922 0.8922  3 As 2.69, 1 Bi 2.91

Results
The calculated density comes out at 6.657 g cm⁻³. Its volume is 27.55 A^3/atom. As for the crystal system: trigonal. As for the space-group type: No. 166.

---

Arrangement x

First-principles (PBE) data for a relaxed BiAsSe2 crystal, as listed in Alexandria via LeMat-Bulk.

Unit cell a=5.0522 b=5.0522 c=5.0522 alpha=60.00 beta=60.00 gamma=60.00
Last column: nearest neighbours and their distance in Å.
Fractional positions:
Bi1 0.0000 0.0000 0.0000  8 Se 3.09
As1 0.5000 0.5000 0.5000  8 Se 3.09
Se1 0.2500 0.2500 0.2500  4 As 3.09, 4 Bi 3.09
Se2 0.7500 0.7500 0.7500  4 As 3.09, 4 Bi 3.09

Results
The calculated density comes out at 8.046 g cm⁻³. Its volume is 22.80 A^3/atom. As for the crystal system: cubic. As for the space-group type: No. 225.

---

Arrangement y

First-principles (PBE) data for a relaxed BiAsSe2 crystal, as listed in Alexandria via LeMat-Bulk.

Unit cell a=6.4441 b=6.4441 c=6.4441 alpha=107.06 beta=107.06 gamma=114.42
Last column: nearest neighbours and their distance in Å.
Fractional positions:
Bi1 0.0000 0.0000 0.0000  4 Se 2.99
Bi2 0.7500 0.2500 0.5000  4 Se 2.99
As1 0.2500 0.7500 0.5000  4 Se 2.71
As2 0.5000 0.5000 0.0000  4 Se 2.71
Se1 0.1516 0.6250 0.0266  2 As 2.71, 2 Bi 2.99
Se2 0.3750 0.4016 0.5266  2 As 2.71, 2 Bi 2.99
Se3 0.5984 0.1250 0.9734  2 As 2.71, 2 Bi 2.99
Se4 0.8750 0.8484 0.4734  2 As 2.71, 2 Bi 2.99

Results
The calculated density comes out at 7.163 g cm⁻³. Its volume is 25.61 A^3/atom. As for the crystal system: tetragonal. As for the space-group type: No. 122.

---

Arrangement z

First-principles (PBE) data for a relaxed BiAsSe2 crystal, as listed in Alexandria via LeMat-Bulk.

Unit cell a=9.1153 b=9.1153 c=9.1153 alpha=25.17 beta=25.17 gamma=25.17
Last column: nearest neighbours and their distance in Å.
Fractional positions:
Bi1 0.0000 0.0000 0.0000  6 Se 2.95
As1 0.5000 0.5000 0.5000  2 Se 2.56
Se1 0.4035 0.4035 0.4035  1 As 2.56
Se2 0.5965 0.5965 0.5965  1 As 2.56

Results
The calculated density comes out at 6.086 g cm⁻³. Its volume is 30.14 A^3/atom. As for the crystal system: trigonal. As for the space-group type: No. 166.

---

Stability verdict: arrangement w, ahead by 103 meV per atom

---

Arrangement w

First-principles (PBE) data for a relaxed BiAsSe3 crystal, as listed in Alexandria via LeMat-Bulk.

Unit cell a=6.8166 b=3.9812 c=10.7185 alpha=90.00 beta=99.41 gamma=90.00
Last column: nearest neighbours and their distance in Å.
Fractional positions:
Bi1 0.1489 0.2500 0.1450  5 Se 2.81-3.08
Bi2 0.8511 0.7500 0.8550  5 Se 2.81-3.08
As1 0.2697 0.2500 0.4942  5 Se 2.54-2.79
As2 0.7303 0.7500 0.5058  5 Se 2.54-2.79
Se1 0.0577 0.7500 0.3471  3 As 2.79-3.02, 2 Bi 3.08
Se2 0.2517 0.7500 0.9720  3 Bi 2.81-2.88
Se3 0.4572 0.7500 0.6412  3 As 2.54-2.72
Se4 0.5428 0.2500 0.3588  3 As 2.54-2.72
Se5 0.7483 0.2500 0.0280  3 Bi 2.81-2.88
Se6 0.9423 0.2500 0.6529  3 As 2.79-3.02, 2 Bi 3.08

Results
The calculated density comes out at 6.027 g cm⁻³. Its volume is 28.70 A^3/atom. As for the crystal system: monoclinic. As for the space-group type: No. 11.

---

Arrangement x

First-principles (PBE) data for a relaxed BiAsSe3 crystal, as listed in Alexandria via LeMat-Bulk.

Unit cell a=7.5770 b=4.2372 c=10.7488 alpha=90.00 beta=107.87 gamma=90.00
Last column: nearest neighbours and their distance in Å.
Fractional positions:
Bi1 0.2225 0.2500 0.4938  5 Se 2.81-3.03
Bi2 0.7775 0.7500 0.5062  5 Se 2.81-3.03
As1 0.3696 0.7500 0.8599  4 Se 2.44-2.72
As2 0.6304 0.2500 0.1401  4 Se 2.44-2.72
Se1 0.0094 0.2500 0.6668  3 Bi 2.81-2.95
Se2 0.3089 0.2500 0.0006  3 As 2.44-2.72
Se3 0.4758 0.7500 0.6559  1 As 2.56
Se4 0.5242 0.2500 0.3441  1 As 2.56
Se5 0.6911 0.7500 0.9994  3 As 2.44-2.72
Se6 0.9906 0.7500 0.3332  3 Bi 2.81-2.95

Results
The calculated density comes out at 5.266 g cm⁻³. Its volume is 32.84 A^3/atom. As for the crystal system: monoclinic. As for the space-group type: No. 11.

---

Arrangement y

First-principles (PBE) data for a relaxed BiAsSe3 crystal, as listed in Alexandria via LeMat-Bulk.

Unit cell a=5.4458 b=5.4458 c=5.4458 alpha=90.00 beta=90.00 gamma=90.00
Last column: nearest neighbours and their distance in Å.
Fractional positions:
Bi1 0.0000 0.0000 0.0000  6 Se 2.72
As1 0.5000 0.5000 0.5000  12 Se 3.85
Se1 0.0000 0.0000 0.5000  2 Bi 2.72
Se2 0.0000 0.5000 0.0000  2 Bi 2.72
Se3 0.5000 0.0000 0.0000  2 Bi 2.72

Results
The calculated density comes out at 5.354 g cm⁻³. Its volume is 32.30 A^3/atom. As for the crystal system: cubic. As for the space-group type: No. 221.

---

Stability verdict: arrangement w, ahead by 36 meV per atom

---

Arrangement w

First-principles (PBE) data for a relaxed SiBiAsSe2 crystal, as listed in Alexandria via LeMat-Bulk.

Unit cell a=4.8820 b=4.8820 c=4.8607 alpha=90.00 beta=90.00 gamma=90.00
Last column: nearest neighbours and their distance in Å.
Fractional positions:
Si1 0.0000 0.0000 0.0000  2 As 2.43, 4 Se 2.44
Bi1 0.5000 0.5000 0.5000  8 Se 3.44, 4 As 3.45
As1 0.0000 0.0000 0.5000  2 Si 2.43
Se1 0.0000 0.5000 0.0000  2 Si 2.44
Se2 0.5000 0.0000 0.0000  2 Si 2.44

Results
The calculated density comes out at 6.736 g cm⁻³. Its volume is 23.17 A^3/atom. As for the crystal system: tetragonal. As for the space-group type: No. 123.

---

Arrangement x

First-principles (PBE) data for a relaxed SiBiAsSe2 crystal, as listed in Alexandria via LeMat-Bulk.

Unit cell a=5.4547 b=5.4547 c=5.4286 alpha=90.00 beta=90.00 gamma=90.00
Last column: nearest neighbours and their distance in Å.
Fractional positions:
Si1 0.0000 0.0000 0.0000  8 Se 3.85, 4 As 3.86
Bi1 0.5000 0.5000 0.5000  2 As 2.71, 4 Se 2.73
As1 0.5000 0.5000 0.0000  2 Bi 2.71
Se1 0.0000 0.5000 0.5000  2 Bi 2.73
Se2 0.5000 0.0000 0.5000  2 Bi 2.73

Results
The calculated density comes out at 4.831 g cm⁻³. Its volume is 32.30 A^3/atom. As for the crystal system: tetragonal. As for the space-group type: No. 123.

---

Stability verdict: arrangement w, ahead by 791 meV per atom

---

Arrangement w

First-principles (PBE) data for a relaxed TcBiAs2Se crystal, as listed in Alexandria via LeMat-Bulk.

Unit cell a=5.3980 b=5.3980 c=5.4512 alpha=90.00 beta=90.00 gamma=90.00
Last column: nearest neighbours and their distance in Å.
Fractional positions:
Tc1 0.0000 0.0000 0.0000  4 Se 3.82, 8 As 3.84
Bi1 0.5000 0.5000 0.5000  4 As 2.70, 2 Se 2.73
As1 0.0000 0.5000 0.5000  2 Bi 2.70
As2 0.5000 0.0000 0.5000  2 Bi 2.70
Se1 0.5000 0.5000 0.0000  2 Bi 2.73

Results
The calculated density comes out at 5.601 g cm⁻³. Its volume is 31.77 A^3/atom. As for the crystal system: tetragonal. As for the space-group type: No. 123.

---

Arrangement x

First-principles (PBE) data for a relaxed TcBiAs2Se crystal, as listed in Alexandria via LeMat-Bulk.

Unit cell a=4.6911 b=4.6911 c=5.5333 alpha=90.00 beta=90.00 gamma=90.00
Last column: nearest neighbours and their distance in Å.
Fractional positions:
Tc1 0.0000 0.0000 0.0000  4 As 2.35
Bi1 0.5000 0.5000 0.5000  4 Se 3.32, 8 As 3.63
As1 0.0000 0.5000 0.0000  2 Tc 2.35
As2 0.5000 0.0000 0.0000  2 Tc 2.35
Se1 0.0000 0.0000 0.5000  2 Tc 2.77

Results
The calculated density comes out at 7.306 g cm⁻³. Its volume is 24.35 A^3/atom. As for the crystal system: tetragonal. As for the space-group type: No. 123.

---

Stability verdict: arrangement x, ahead by 1214 meV per atom